# 1
VASP calculation (PBE) on a relaxed TbPr3NdTh crystal.

Results
D(E_F) (states/eV/f.u.): 9.6
ΔE_f (eV/atom): 0.03

abc: 3.662 11.011 10.963
angles: 109.33 90.00 90.00
Positions (direct):
Nd1 0.250 0.632 0.131
Nd2 0.750 0.368 0.869
Tb1 0.750 0.883 0.704
Tb2 0.250 0.117 0.296
Pr1 0.750 0.876 0.046
Pr2 0.750 0.374 0.209
Pr3 0.250 0.636 0.460
Pr4 0.250 0.626 0.791
Pr5 0.250 0.124 0.954
Pr6 0.750 0.364 0.540
Th1 0.250 0.119 0.619
Th2 0.750 0.881 0.381

# 2
VASP calculation (PBE) on a relaxed PrAg2Sb2 crystal.

Results
D(E_F) (states/eV/f.u.): 1.7
Energy relative to the elements, uncorrected (eV per formula unit): -2.6
Energy above the most stable polymorph in this dataset (meV per atom): 0

abc: 4.461 4.431 12.660
angles: 90.00 100.15 90.00
Positions (direct):
Sb1 0.112 0.250 0.223
Sb2 0.888 0.750 0.777
Sb3 0.750 0.250 0.500
Sb4 0.250 0.750 0.500
Pr1 0.351 0.250 0.701
Pr2 0.649 0.750 0.299
Ag1 0.962 0.250 0.924
Ag2 0.538 0.250 0.077
Ag3 0.462 0.750 0.923
Ag4 0.038 0.750 0.076

# 3
VASP calculation (PBE) on a relaxed PuFeCl2 crystal.

Results
D(E_F) (states/eV/f.u.): 10.8
Energy relative to the elements, uncorrected (eV per formula unit): -1.5

abc: 3.423 3.423 8.956
angles: 78.98 78.98 60.00
Positions (direct):
Cl1 0.891 0.891 0.328
Cl2 0.109 0.109 0.672
Fe1 0.500 0.500 0.500
Pu1 0.000 0.000 0.000

# 4
VASP calculation (PBE) on a relaxed SrRe2Ru crystal.

Results
D(E_F) (states/eV/f.u.): 4.3
Energy above the most stable polymorph in this dataset (meV per atom): 239
ΔE_f (eV/atom): 0.83

abc: 10.121 10.121 10.121
angles: 16.16 16.16 16.16
Positions (direct):
Ru1 0.250 0.250 0.250
Re1 0.513 0.513 0.513
Re2 0.987 0.987 0.987
Sr1 0.750 0.750 0.750

# 5
VASP calculation (PBE) on a relaxed Sm7ErIn2 crystal.

Results
D(E_F) (states/eV/f.u.): 20.3
ΔE_f (eV/atom): 0.33

abc: 5.375 9.198 9.198
angles: 119.43 90.00 90.00
Positions (direct):
Sm1 0.500 0.062 0.301
Sm2 0.500 0.699 0.938
Sm3 0.000 0.777 0.223
Sm4 0.500 0.500 0.500
Sm5 0.000 0.223 0.777
Sm6 0.500 0.301 0.062
Sm7 0.500 0.938 0.699
Er1 0.000 0.000 0.000
In1 0.500 0.305 0.695
In2 0.500 0.695 0.305

# 6
VASP calculation (PBE) on a relaxed YMg2Cu crystal.

Results
D(E_F) (states/eV/f.u.): 2.5
ΔE_f (eV/atom): -0.04

abc: 4.366 4.069 6.406
angles: 50.48 90.00 90.00
Positions (direct):
Mg1 0.000 0.000 0.000
Mg2 0.500 0.500 0.000
Cu1 0.000 0.000 0.500
Y1 0.500 0.500 0.500

# 7
VASP calculation (PBE) on a relaxed RbTcOs2 crystal.

Results
D(E_F) (states/eV/f.u.): 1.4
Energy above the most stable polymorph in this dataset (meV per atom): 0
ΔE_f (eV/atom): 1.77

abc: 7.488 7.488 6.144
angles: 52.46 52.46 90.00
Positions (direct):
Os1 0.875 0.948 0.750
Os2 0.375 0.302 0.750
Os3 0.052 0.625 0.250
Os4 0.698 0.125 0.250
Tc1 0.750 0.250 0.500
Tc2 0.000 0.000 0.000
Rb1 0.500 0.500 0.000
Rb2 0.250 0.750 0.500

# 8
VASP calculation (PBE) on a relaxed InAs2Pb crystal.

Results
D(E_F) (states/eV/f.u.): 2.4
Energy above the most stable polymorph in this dataset (meV per atom): 160
ΔE_f (eV/atom): 0.15

abc: 3.960 3.954 6.377
angles: 90.00 90.00 90.00
Positions (direct):
Pb1 0.500 0.500 0.750
As1 0.000 0.000 0.455
As2 0.000 0.000 0.045
In1 0.500 0.500 0.250

# 9
VASP calculation (PBE) on a relaxed RbCeSe2 crystal.

Results
D(E_F) (states/eV/f.u.): 5.2
Energy relative to the elements, uncorrected (eV per formula unit): -6.0

abc: 3.746 3.746 8.203
angles: 90.00 90.00 90.00
Positions (direct):
Rb1 0.500 0.500 0.500
Se1 0.000 0.000 0.204
Se2 0.000 0.000 0.796
Ce1 0.500 0.500 0.000

# 10
VASP calculation (PBE) on a relaxed TbPuIr2 crystal.

Results
D(E_F) (states/eV/f.u.): 8.6
Energy above the most stable polymorph in this dataset (meV per atom): 11
ΔE_f (eV/atom): -0.61

abc: 3.872 4.114 5.705
angles: 90.00 109.83 90.00
Positions (direct):
Pu1 0.725 0.000 0.990
Ir1 0.995 0.000 0.529
Ir2 0.171 0.500 0.881
Tb1 0.440 0.500 0.419

# 11
VASP calculation (PBE) on a relaxed BeAlSe2 crystal.

Results
D(E_F) (states/eV/f.u.): 0.7
Energy relative to the elements, uncorrected (eV per formula unit): -0.5
Energy above the most stable polymorph in this dataset (meV per atom): 274

abc: 5.428 5.428 5.428
angles: 143.02 90.53 101.06
Positions (direct):
Se1 0.021 0.021 0.000
Se2 0.479 0.479 0.000
Be1 0.250 0.750 0.500
Al1 0.750 0.250 0.500

# 12
VASP calculation (PBE) on a relaxed InGeW2 crystal.

Results
D(E_F) (states/eV/f.u.): 1.7
Energy above the most stable polymorph in this dataset (meV per atom): 31
ΔE_f (eV/atom): 0.79

abc: 3.923 3.923 10.212
angles: 78.93 78.93 90.00
Positions (direct):
W1 0.875 0.837 0.750
W2 0.163 0.625 0.250
W3 0.375 0.413 0.750
W4 0.587 0.125 0.250
Ge1 0.250 0.750 0.500
Ge2 0.500 0.500 0.000
In1 0.000 0.000 0.000
In2 0.750 0.250 0.500